A plane-wave DFT calculation with PBE was carried out for an optimized crystal structure of KFe2Ir.

```
data_KFe2Ir
_chemical_formula_sum 'K3 Fe6 Ir3'
_symmetry_space_group_name_H-M 'R -3 m'
_symmetry_Int_Tables_number 166
_symmetry_space_group_name_Hall '-R 3 2"'
_cell_length_a 2.7734
_cell_length_b 2.7734
_cell_length_c 30.3088
_cell_angle_alpha 90.00
_cell_angle_beta 90.00
_cell_angle_gamma 120.00
loop_
_atom_site_label
_atom_site_type_symbol
_atom_site_fract_x
_atom_site_fract_y
_atom_site_fract_z
_atom_site_occupancy
K1 K 0.0000 0.0000 0.0000 1
Fe1 Fe 0.0000 0.0000 0.2356 1
Ir1 Ir 0.0000 0.0000 0.5000 1
```

Properties
ΔH_f (0 K): 757.2 meV/atom
E above lowest polymorph: 0.228 eV/atom

=====

A plane-wave DFT calculation with PBE was carried out for an optimized crystal structure of AcMg2Ag2Pb2.

```
data_AcMg2Ag2Pb2
_chemical_formula_sum 'Ac3 Mg6 Ag6 Pb6'
_symmetry_space_group_name_H-M 'R -3 m'
_symmetry_Int_Tables_number 166
_symmetry_space_group_name_Hall '-R 3 2"'
_cell_length_a 4.7962
_cell_length_b 4.7962
_cell_length_c 26.9280
_cell_angle_alpha 90.00
_cell_angle_beta 90.00
_cell_angle_gamma 120.00
loop_
_atom_site_label
_atom_site_type_symbol
_atom_site_fract_x
_atom_site_fract_y
_atom_site_fract_z
_atom_site_occupancy
Ac1 Ac 0.0000 0.0000 0.0000 1
Mg1 Mg 0.0000 0.0000 0.1400 1
Ag1 Ag 0.0000 0.0000 0.4462 1
Pb1 Pb 0.0000 0.0000 0.2591 1
```

Properties
ΔH_f (0 K): -259.9 meV/atom

=====

A plane-wave DFT calculation with PBE was carried out for an optimized crystal structure of Tb5SiTe5.

```
data_Tb5SiTe5
_chemical_formula_sum 'Tb10 Si2 Te10'
_symmetry_space_group_name_H-M 'C 1 2/m 1'
_symmetry_Int_Tables_number 12
_symmetry_space_group_name_Hall '-C 2y'
_cell_length_a 13.741
_cell_length_b 6.125
_cell_length_c 8.634
_cell_angle_alpha 90.00
_cell_angle_beta 108.68
_cell_angle_gamma 90.00
loop_
_atom_site_label
_atom_site_type_symbol
_atom_site_fract_x
_atom_site_fract_y
_atom_site_fract_z
_atom_site_occupancy
Tb1 Tb 0.000 0.000 0.000 1
Tb2 Tb 0.156 0.500 0.317 1
Tb3 Tb 0.156 0.500 0.841 1
Si1 Si 0.000 0.500 0.000 1
Te1 Te 0.000 0.500 0.500 1
Te2 Te 0.164 0.000 0.825 1
Te3 Te 0.172 0.000 0.336 1
```

Properties
uncorrected formation energy: -1.32 eV/atom

=====

A plane-wave DFT calculation with PBE was carried out for an optimized crystal structure of LaCrAu2.

```
data_LaCrAu2
_chemical_formula_sum 'La3 Cr3 Au6'
_symmetry_space_group_name_H-M 'R 3 m'
_symmetry_Int_Tables_number 160
_symmetry_space_group_name_Hall 'R 3 -2"'
_cell_length_a 4.6204
_cell_length_b 4.6204
_cell_length_c 15.0496
_cell_angle_alpha 90.00
_cell_angle_beta 90.00
_cell_angle_gamma 120.00
loop_
_atom_site_label
_atom_site_type_symbol
_atom_site_fract_x
_atom_site_fract_y
_atom_site_fract_z
_atom_site_occupancy
La1 La 0.0000 0.0000 0.0000 1
Cr1 Cr 0.0000 0.0000 0.2002 1
Au1 Au 0.0000 0.0000 0.5403 1
Au2 Au 0.0000 0.0000 0.7895 1
```

Properties
ΔH_f (0 K): -240.4 meV/atom
E above lowest polymorph: 0.110 eV/atom